{
  "formula": "Na5Mn2P2C2O14",
  "functional": "PBE+U",
  "state": "optimized geometry",
  "polymorph_energy_mev_per_atom": 6.2,
  "n_ef_per_ev_cell": 10.04,
  "vol_a3_per_atom": 12.8,
  "final_energy_ev_per_cell": -337.644,
  "spacegroup": "P2_1/m (11)",
  "lattice_angstrom": [[5.234, 0.000, 0.000], [0.000, 6.740, 0.000], [-0.202, 0.000, 18.073]],
  "species": ["Na", "Na", "Na", "Na", "Na", "Na", "Na", "Na", "Na", "Na", "Mn", "Mn", "Mn", "Mn", "P", "P", "P", "P", "C", "C", "C", "C", "O", "O", "O", "O", "O", "O", "O", "O", "O", "O", "O", "O", "O", "O", "O", "O", "O", "O", "O", "O", "O", "O", "O", "O", "O", "O", "O", "O"],
  "frac_coords": [[0.232, 0.250, 0.288], [0.241, 0.513, 0.125], [0.241, 0.987, 0.125], [0.246, 0.002, 0.626], [0.246, 0.498, 0.626], [0.754, 0.502, 0.374], [0.754, 0.998, 0.374], [0.759, 0.013, 0.875], [0.759, 0.487, 0.875], [0.768, 0.750, 0.712], [0.219, 0.750, 0.930], [0.220, 0.750, 0.430], [0.780, 0.250, 0.570], [0.781, 0.250, 0.070], [0.296, 0.250, 0.458], [0.297, 0.250, 0.961], [0.703, 0.750, 0.039], [0.704, 0.750, 0.542], [0.271, 0.750, 0.288], [0.274, 0.750, 0.782], [0.726, 0.250, 0.218], [0.729, 0.250, 0.712], [0.052, 0.750, 0.323], [0.057, 0.750, 0.818], [0.167, 0.250, 0.534], [0.182, 0.250, 0.040], [0.213, 0.062, 0.917], [0.213, 0.438, 0.917], [0.221, 0.066, 0.411], [0.221, 0.434, 0.411], [0.274, 0.750, 0.711], [0.280, 0.750, 0.218], [0.402, 0.750, 0.032], [0.406, 0.750, 0.530], [0.473, 0.750, 0.331], [0.485, 0.750, 0.820], [0.515, 0.250, 0.180], [0.527, 0.250, 0.669], [0.594, 0.250, 0.470], [0.598, 0.250, 0.968], [0.720, 0.250, 0.782], [0.726, 0.250, 0.289], [0.779, 0.566, 0.589], [0.779, 0.934, 0.589], [0.787, 0.562, 0.083], [0.787, 0.938, 0.083], [0.818, 0.750, 0.960], [0.833, 0.750, 0.466], [0.943, 0.250, 0.182], [0.948, 0.250, 0.677]]
}